DFT (meta-GGA SCAN) results for a PBEsol-optimized structure of TcRu2W.

Structure (CIF):
```
data_TcRu2W
_chemical_formula_sum 'Tc2 Ru4 W2'
_symmetry_space_group_name_H-M 'C m m m'
_symmetry_Int_Tables_number 65
_symmetry_space_group_name_Hall '-C 2 2'
_cell_length_a 5.425
_cell_length_b 7.630
_cell_length_c 2.720
_cell_angle_alpha 90.00
_cell_angle_beta 90.00
_cell_angle_gamma 90.00
loop_
_atom_site_label
_atom_site_type_symbol
_atom_site_fract_x
_atom_site_fract_y
_atom_site_fract_z
Tc1 Tc 0.000 0.000 0.000
Ru1 Ru 0.250 0.250 0.500
W1 W 0.000 0.500 0.000
```

The value obtained for the formation enthalpy at 0 K is 0.0354 eV/atom. For the size of the total moment, the calculation gives 0.0 μB/f.u. The calculation puts the offset from the most stable computed form at 20 meV per atom.

=====

DFT (meta-GGA SCAN) results for a PBEsol-optimized structure of Tc2RuW.

Structure (CIF):
```
data_Tc2RuW
_chemical_formula_sum 'Tc8 Ru4 W4'
_symmetry_space_group_name_H-M 'F -4 3 m'
_symmetry_Int_Tables_number 216
_symmetry_space_group_name_Hall 'F -4 2 3'
_cell_length_a 6.130
_cell_length_b 6.130
_cell_length_c 6.130
_cell_angle_alpha 90.00
_cell_angle_beta 90.00
_cell_angle_gamma 90.00
loop_
_atom_site_label
_atom_site_type_symbol
_atom_site_fract_x
_atom_site_fract_y
_atom_site_fract_z
Tc1 Tc 0.000 0.000 0.000
Tc2 Tc 0.250 0.250 0.250
Ru1 Ru 0.000 0.000 0.500
W1 W 0.250 0.250 0.750
```

The value obtained for the formation enthalpy at 0 K is 0.2817 eV/atom. For the size of the total moment, the calculation gives 0.0 μB/f.u. The calculation puts the offset from the most stable computed form at 219 meV per atom.

=====

DFT (meta-GGA SCAN) results for a PBEsol-optimized structure of YTc2Ru.

Structure (CIF):
```
data_YTc2Ru
_chemical_formula_sum 'Y2 Tc4 Ru2'
_symmetry_space_group_name_H-M 'I 4/m m m'
_symmetry_Int_Tables_number 139
_symmetry_space_group_name_Hall '-I 4 2'
_cell_length_a 3.804
_cell_length_b 3.804
_cell_length_c 9.043
_cell_angle_alpha 90.00
_cell_angle_beta 90.00
_cell_angle_gamma 90.00
loop_
_atom_site_label
_atom_site_type_symbol
_atom_site_fract_x
_atom_site_fract_y
_atom_site_fract_z
Y1 Y 0.000 0.000 0.000
Tc1 Tc 0.000 0.500 0.250
Ru1 Ru 0.000 0.000 0.500
```

The value obtained for the formation enthalpy at 0 K is 0.3414 eV/atom. For the size of the total moment, the calculation gives 0.0 μB/f.u.

=====

DFT (meta-GGA SCAN) results for a PBEsol-optimized structure of ZnTc2Ru.

Structure (CIF):
```
data_ZnTc2Ru
_chemical_formula_sum 'Zn2 Tc4 Ru2'
_symmetry_space_group_name_H-M 'C m m m'
_symmetry_Int_Tables_number 65
_symmetry_space_group_name_Hall '-C 2 2'
_cell_length_a 2.803
_cell_length_b 4.446
_cell_length_c 8.913
_cell_angle_alpha 90.00
_cell_angle_beta 90.00
_cell_angle_gamma 90.00
loop_
_atom_site_label
_atom_site_type_symbol
_atom_site_fract_x
_atom_site_fract_y
_atom_site_fract_z
Zn1 Zn 0.000 0.000 0.000
Tc1 Tc 0.000 0.500 0.253
Ru1 Ru 0.000 0.000 0.500
```

The value obtained for the formation enthalpy at 0 K is 0.2560 eV/atom. For the size of the total moment, the calculation gives 0.0 μB/f.u.

=====

DFT (meta-GGA SCAN) results for a PBEsol-optimized structure of Zn2TcRu.

Structure (CIF):
```
data_Zn2TcRu
_chemical_formula_sum 'Zn4 Tc2 Ru2'
_symmetry_space_group_name_H-M 'C m m m'
_symmetry_Int_Tables_number 65
_symmetry_space_group_name_Hall '-C 2 2'
_cell_length_a 5.046
_cell_length_b 7.933
_cell_length_c 2.715
_cell_angle_alpha 90.00
_cell_angle_beta 90.00
_cell_angle_gamma 90.00
loop_
_atom_site_label
_atom_site_type_symbol
_atom_site_fract_x
_atom_site_fract_y
_atom_site_fract_z
Zn1 Zn 0.250 0.250 0.000
Tc1 Tc 0.000 0.000 0.500
Ru1 Ru 0.000 0.500 0.500
```

The value obtained for the formation enthalpy at 0 K is 0.2142 eV/atom. For the size of the total moment, the calculation gives 0.0 μB/f.u. The calculation puts the offset from the most stable computed form at 311 meV per atom.

=====

DFT (meta-GGA SCAN) results for a PBEsol-optimized structure of ZnTcRu2.

Structure (CIF):
```
data_ZnTcRu2
_chemical_formula_sum 'Zn2 Tc2 Ru4'
_symmetry_space_group_name_H-M 'C 1 m 1'
_symmetry_Int_Tables_number 8
_cell_length_a 8.956
_cell_length_b 2.697
_cell_length_c 4.560
_cell_angle_alpha 90.00
_cell_angle_beta 100.78
_cell_angle_gamma 90.00
loop_
_symmetry_equiv_pos_as_xyz
'x,y,z'
'x,-y,z'
'x+1/2,y+1/2,z'
'x+1/2,-y+1/2,z'
loop_
_atom_site_label
_atom_site_type_symbol
_atom_site_fract_x
_atom_site_fract_y
_atom_site_fract_z
Zn1 Zn 0.000 0.000 0.000
Tc1 Tc 0.260 0.500 0.288
Ru1 Ru 0.009 0.500 0.497
Ru2 Ru 0.246 0.000 0.784
```

The value obtained for the formation enthalpy at 0 K is 0.1154 eV/atom. For the size of the total moment, the calculation gives 0.0 μB/f.u.